(1)
Tl5V3O10 | GGA-PBEsol | optimized geometry

Properties
- Crystal system: tetragonal
- Density: 6.862 g/cm³
- E_tot: -6.9876 eV per atom
- V: 1292.0 Å³ per cell
- Formation energy from raw total energies: -31.230 eV per formula unit

abc: 8.156 8.156 19.421
angles: 90.00 90.00 90.00
Fractional positions:
Tl1 0.472 0.000 0.130
Tl2 0.528 0.000 0.630
Tl3 0.500 0.972 0.380
Tl4 0.028 0.500 0.120
Tl5 0.500 0.028 0.880
Tl6 0.972 0.500 0.620
Tl7 0.000 0.472 0.870
Tl8 0.000 0.528 0.370
Tl9 0.005 0.016 0.105
Tl10 0.995 0.984 0.605
Tl11 0.484 0.505 0.355
Tl12 0.495 0.516 0.145
Tl13 0.516 0.495 0.855
Tl14 0.505 0.484 0.645
Tl15 0.016 0.005 0.895
Tl16 0.984 0.995 0.395
Tl17 0.747 0.747 0.000
Tl18 0.253 0.253 0.500
Tl19 0.753 0.247 0.250
Tl20 0.247 0.753 0.750
V1 0.231 0.245 0.272
V2 0.769 0.755 0.772
V3 0.255 0.731 0.522
V4 0.269 0.745 0.978
V5 0.745 0.269 0.022
V6 0.731 0.255 0.478
V7 0.245 0.231 0.728
V8 0.755 0.769 0.228
V9 0.312 0.312 0.000
V10 0.688 0.688 0.500
V11 0.188 0.812 0.250
V12 0.812 0.188 0.750
O1 0.075 0.336 0.230
O2 0.925 0.664 0.730
O3 0.164 0.575 0.480
O4 0.425 0.836 0.020
O5 0.836 0.425 0.980
O6 0.575 0.164 0.520
O7 0.336 0.075 0.770
O8 0.664 0.925 0.270
O9 0.214 0.245 0.070
O10 0.786 0.755 0.570
O11 0.255 0.714 0.320
O12 0.286 0.745 0.180
O13 0.745 0.286 0.820
O14 0.714 0.255 0.680
O15 0.245 0.214 0.930
O16 0.755 0.786 0.430
O17 0.208 0.286 0.357
O18 0.792 0.714 0.857
O19 0.214 0.708 0.607
O20 0.292 0.786 0.893
O21 0.786 0.292 0.107
O22 0.708 0.214 0.393
O23 0.286 0.208 0.643
O24 0.714 0.792 0.143
O25 0.228 0.024 0.258
O26 0.772 0.976 0.758
O27 0.476 0.728 0.507
O28 0.272 0.524 0.993
O29 0.524 0.272 0.007
O30 0.728 0.476 0.493
O31 0.024 0.228 0.742
O32 0.976 0.772 0.242
O33 0.413 0.327 0.248
O34 0.587 0.673 0.748
O35 0.173 0.913 0.498
O36 0.087 0.827 0.002
O37 0.827 0.087 0.998
O38 0.913 0.173 0.502
O39 0.327 0.413 0.752
O40 0.673 0.587 0.252

***

(2)
TlVO3 | GGA-PBEsol | optimized geometry

Properties
- Crystal system: orthorhombic
- Density: 6.204 g/cm³
- E_tot: -7.4988 eV per atom
- V: 324.7 Å³ per cell
- Formation energy from raw total energies: -9.482 eV per formula unit

abc: 5.226 5.735 10.835
angles: 90.00 90.00 90.00
Fractional positions:
Tl1 0.942 0.250 0.902
Tl2 0.942 0.750 0.598
Tl3 0.058 0.750 0.098
Tl4 0.058 0.250 0.402
V1 0.471 0.250 0.664
V2 0.471 0.750 0.836
V3 0.529 0.750 0.336
V4 0.529 0.250 0.164
O1 0.419 0.500 0.250
O2 0.581 0.000 0.750
O3 0.581 0.500 0.750
O4 0.419 0.000 0.250
O5 0.593 0.250 0.524
O6 0.593 0.750 0.976
O7 0.407 0.750 0.476
O8 0.407 0.250 0.024
O9 0.846 0.250 0.154
O10 0.846 0.750 0.346
O11 0.154 0.750 0.846
O12 0.154 0.250 0.654

***

(3)
Tl2V8O21 | GGA-PBEsol | optimized geometry

Properties
- Crystal system: monoclinic
- Density: 4.778 g/cm³
- E_tot: -8.3750 eV per atom
- V: 400.4 Å³ per cell
- Formation energy from raw total energies: -67.055 eV per formula unit

abc: 3.554 7.781 14.875
angles: 90.39 90.00 103.20
Fractional positions:
Tl1 0.528 0.056 0.312
Tl2 0.472 0.944 0.688
V1 0.830 0.661 0.477
V2 0.908 0.817 0.074
V3 0.689 0.377 0.072
V4 0.811 0.622 0.269
V5 0.092 0.183 0.926
V6 0.189 0.378 0.731
V7 0.170 0.339 0.523
V8 0.311 0.623 0.928
O1 0.094 0.188 0.446
O2 0.663 0.326 0.741
O3 0.806 0.611 0.967
O4 0.611 0.223 0.144
O5 0.337 0.674 0.259
O6 0.618 0.237 0.952
O7 0.194 0.389 0.033
O8 0.285 0.570 0.687
O9 0.290 0.581 0.471
O10 0.886 0.772 0.375
O11 0.906 0.812 0.554
O12 0.000 0.000 0.000
O13 0.785 0.571 0.140
O14 0.382 0.763 0.048
O15 0.048 0.096 0.827
O16 0.114 0.228 0.625
O17 0.710 0.419 0.529
O18 0.215 0.429 0.860
O19 0.389 0.777 0.856
O20 0.952 0.904 0.173
O21 0.715 0.430 0.313

***

(4)
Tl3V5O14 | GGA-PBEsol | optimized geometry

Properties
- Crystal system: trigonal
- Density: 5.447 g/cm³
- E_tot: -7.9312 eV per atom
- V: 332.8 Å³ per cell
- Formation energy from raw total energies: -44.933 eV per formula unit

abc: 5.101 8.680 8.680
angles: 120.00 90.00 90.00
Fractional positions:
Tl1 0.234 0.611 0.000
Tl2 0.234 0.000 0.611
Tl3 0.234 0.389 0.389
V1 0.703 0.333 0.667
V2 0.703 0.667 0.333
V3 0.711 0.772 0.772
V4 0.711 0.228 0.000
V5 0.711 0.000 0.228
O1 0.025 0.667 0.333
O2 0.025 0.333 0.667
O3 0.025 0.246 0.000
O4 0.025 0.000 0.246
O5 0.025 0.754 0.754
O6 0.640 0.833 0.000
O7 0.640 0.000 0.833
O8 0.640 0.167 0.167
O9 0.586 0.461 0.168
O10 0.586 0.832 0.293
O11 0.586 0.707 0.539
O12 0.586 0.168 0.461
O13 0.586 0.539 0.707
O14 0.586 0.293 0.832